Record 1
Here is crystalline PrSmTa at its relaxed geometry from OQMD. Energies are from PBE.

abc: 5.0843 5.0843 5.0843
angles: 60.00 60.00 60.00
Closest atoms and distances in Å follow each position.
Element x y z (fractional)
Sm: 0.0000 0.0000 0.0000  4 Ta 3.11, 4 Pr 3.11
Pr: 0.2500 0.2500 0.2500  4 Sm 3.11
Ta: 0.7500 0.7500 0.7500  4 Sm 3.11

Computed properties:
Energy of formation from the pure elements: 1.31 eV per atom
Space group: No. 216
E_tot: -5.81 eV per atom

Record 2
Here is crystalline Zr3AlC at its relaxed geometry from OQMD. Energies are from PBE.

abc: 6.0919 6.0919 9.1715
angles: 90.00 90.00 147.52
Closest atoms and distances in Å follow each position.
Element x y z (fractional)
Zr: 0.8721 0.1279 0.0422  2 C 2.30
Zr: 0.1279 0.8721 0.5422  2 C 2.30
Al: 0.7518 0.2482 0.7500  8 Zr 2.94-3.03
Zr: 0.5436 0.4564 0.2500  2 C 2.35
Al: 0.2482 0.7518 0.2500  8 Zr 2.94-3.03
C: 0.5000 0.5000 0.5000  6 Zr 2.30-2.35
Zr: 0.1279 0.8721 0.9578  2 C 2.30
Zr: 0.4564 0.5436 0.7500  2 C 2.35
Zr: 0.8721 0.1279 0.4578  2 C 2.30
C: 0.5000 0.5000 0.0000  6 Zr 2.30-2.35

Computed properties:
Space group: No. 63
E_tot: -8.31 eV per atom

Record 3
Here is crystalline CdTePdO at its relaxed geometry from OQMD. Energies are from PBE.

abc: 6.6430 10.9530 8.7757
angles: 90.00 90.00 90.00
Closest atoms and distances in Å follow each position.
Element x y z (fractional)
Pd: 0.9973 0.2838 0.2508  2 O 2.06
Cd: 0.2442 0.3800 0.0211  1 O 2.19
O: 0.7479 0.2102 0.6116  2 Pd 2.06, 1 Cd 2.19
Pd: 0.5027 0.7162 0.7508  2 O 2.06
O: 0.7521 0.7102 0.6116  2 Pd 2.06, 1 Cd 2.19
Te: 0.9947 0.4652 0.7481  2 Pd 2.73-2.75, 1 Cd 3.04
Cd: 0.2558 0.8800 0.0211  1 O 2.19
Te: 0.4947 0.4652 0.7519  2 Pd 2.73-2.75, 1 Cd 3.04
O: 0.2521 0.7898 0.3884  2 Pd 2.06, 1 Cd 2.19
Cd: 0.7442 0.3800 0.4789  1 O 2.19
Cd: 0.7442 0.1200 0.9789  1 O 2.19
Te: 0.5053 0.9652 0.7481  2 Pd 2.73-2.75, 1 Cd 3.04
O: 0.7479 0.2898 0.1116  2 Pd 2.06, 1 Cd 2.19
Pd: 0.4973 0.2838 0.2492  2 O 2.06
Pd: 0.0027 0.7162 0.7492  2 O 2.06
Te: 0.0053 0.5348 0.2519  2 Pd 2.73-2.75, 1 Cd 3.04
Cd: 0.2558 0.6200 0.5211  1 O 2.19
Pd: 0.9973 0.2162 0.7508  2 O 2.06
Te: 0.0053 0.9652 0.7519  2 Pd 2.73-2.75, 1 Cd 3.04
Te: 0.9947 0.0348 0.2481  2 Pd 2.73-2.75, 1 Cd 3.04
O: 0.2479 0.2898 0.3884  2 Pd 2.06, 1 Cd 2.19
Pd: 0.4973 0.2162 0.7492  2 O 2.06
Cd: 0.7558 0.8800 0.4789  1 O 2.19
O: 0.7521 0.7898 0.1116  2 Pd 2.06, 1 Cd 2.19
Te: 0.5053 0.5348 0.2481  2 Pd 2.73-2.75, 1 Cd 3.04
O: 0.2479 0.2102 0.8884  2 Pd 2.06, 1 Cd 2.19
Pd: 0.0027 0.7838 0.2492  2 O 2.06
Pd: 0.5027 0.7838 0.2508  2 O 2.06
Cd: 0.7558 0.6200 0.9789  1 O 2.19
Cd: 0.2442 0.1200 0.5211  1 O 2.19
Te: 0.4947 0.0348 0.2519  2 Pd 2.73-2.75, 1 Cd 3.04
O: 0.2521 0.7102 0.8884  2 Pd 2.06, 1 Cd 2.19

Computed properties:
Space group: No. 61
Excess energy over the best structure of this formula in the dataset: 0.199 eV/atom
E_tot: -3.86 eV per atom

Record 4
Here is crystalline Gd2Al5In at its relaxed geometry from OQMD. Energies are from PBE.

abc: 4.6776 6.3945 6.3945
angles: 60.65 90.00 90.00
Closest atoms and distances in Å follow each position.
Element x y z (fractional)
Gd: 0.0000 0.6635 0.6635  10 Al 3.13-3.22, 2 In 3.23
Gd: 0.5000 0.3407 0.3407  10 Al 3.10-3.32, 2 In 3.10
Al: 0.0000 0.1408 0.7068  5 Al 2.80-2.84, 1 In 2.92, 2 Gd 3.11
Al: 0.5000 0.8486 0.2900  4 Al 2.78-2.85, 2 In 2.90, 1 Gd 3.10
Al: 0.0000 0.7068 0.1408  5 Al 2.80-2.84, 1 In 2.92, 2 Gd 3.11
In: 0.0000 0.1560 0.1560  6 Al 2.90-2.92, 4 Gd 3.10-3.23
Al: 0.5000 0.8535 0.8535  6 Al 2.78-2.83
Al: 0.5000 0.2900 0.8486  4 Al 2.78-2.85, 2 In 2.90, 1 Gd 3.10

Computed properties:
Space group: No. 38
E_tot: -4.25 eV per atom

Record 5
Here is crystalline GaCuNiSn at its relaxed geometry from OQMD. Energies are from PBE.

abc: 4.4454 4.4454 4.4454
angles: 60.00 60.00 60.00
Closest atoms and distances in Å follow each position.
Element x y z (fractional)
Sn: 0.0000 0.0000 0.0000  4 Cu 2.72, 4 Ni 2.72
Ga: 0.5000 0.5000 0.5000  4 Cu 2.72, 4 Ni 2.72
Cu: 0.7500 0.7500 0.7500  4 Ga 2.72, 4 Sn 2.72
Ni: 0.2500 0.2500 0.2500  4 Ga 2.72, 4 Sn 2.72

Computed properties:
Space group: No. 216
Excess energy over the best structure of this formula in the dataset: 0.000 eV/atom
E_tot: -4.05 eV per atom

Record 6
Here is crystalline HoGeHO4 at its relaxed geometry from OQMD. Energies are from PBE.

abc: 5.1540 6.4967 4.5342
angles: 90.00 97.77 90.00
Closest atoms and distances in Å follow each position.
Element x y z (fractional)
O: 0.6397 0.7500 0.3745  1 Ge 1.72
O: 0.3441 0.7500 0.8246  1 Ge 1.75
Ho: 0.2054 0.2500 0.0555  6 O 2.20-2.43
O: 0.6559 0.2500 0.1754  1 Ge 1.75
O: 0.3603 0.2500 0.6255  1 Ge 1.72
O: 0.8997 0.4528 0.7192  1 H 1.22
Ge: 0.3169 0.7500 0.4351  4 O 1.72-1.81
H: 0.0000 0.0000 0.5000  2 O 1.22
Ge: 0.6831 0.2500 0.5649  4 O 1.72-1.81
Ho: 0.7946 0.7500 0.9445  6 O 2.20-2.43
O: 0.1003 0.5472 0.2808  1 H 1.22
O: 0.8997 0.0472 0.7192  1 H 1.22
O: 0.1003 0.9528 0.2808  1 H 1.22
H: 0.0000 0.5000 0.5000  2 O 1.22

Computed properties:
Space group: No. 11
Excess energy over the best structure of this formula in the dataset: 0.082 eV/atom
E_tot: -6.79 eV per atom

Record 7
Here is crystalline Ag2Cl3 at its relaxed geometry from OQMD. Energies are from PBE.

abc: 7.1864 7.1864 7.1864
angles: 55.23 55.23 55.23
Closest atoms and distances in Å follow each position.
Element x y z (fractional)
Cl: 0.9301 0.2497 0.5702  4 Ag 2.64-2.71
Ag: 0.6581 0.6581 0.6581  6 Cl 2.64-2.71
Ag: 0.1586 0.1586 0.1586  6 Cl 2.65-2.71
Cl: 0.2497 0.5702 0.9301  4 Ag 2.64-2.71
Cl: 0.5702 0.9301 0.2497  4 Ag 2.64-2.71
Cl: 0.0699 0.7503 0.4298  4 Ag 2.64-2.71
Cl: 0.4298 0.0699 0.7503  4 Ag 2.64-2.71
Ag: 0.8414 0.8414 0.8414  6 Cl 2.65-2.71
Cl: 0.7503 0.4298 0.0699  4 Ag 2.64-2.71
Ag: 0.3419 0.3419 0.3419  6 Cl 2.64-2.71

Computed properties:
Space group: No. 148
Excess energy over the best structure of this formula in the dataset: 0.018 eV/atom
E_tot: -2.62 eV per atom

Record 8
Here is crystalline Pr2Ir5C4 at its relaxed geometry from OQMD. Energies are from PBE.

abc: 7.5672 6.0775 5.9278
angles: 78.14 51.81 50.05
Closest atoms and distances in Å follow each position.
Element x y z (fractional)
Pr: 0.8442 0.8442 0.1558  6 C 2.84-3.18, 4 Ir 3.14
Pr: 0.1558 0.1558 0.8442  6 C 2.84-3.18, 4 Ir 3.14
Ir: 0.7500 0.7500 0.7500  4 C 2.15
Ir: 0.5000 0.5000 0.0000  4 C 2.21
Ir: 0.5000 0.5000 0.5000  4 C 2.14
C: 0.5241 0.2172 0.7828  5 Ir 2.14-2.21
Ir: 0.2500 0.2500 0.2500  4 C 2.15
C: 0.7828 0.4759 0.5241  5 Ir 2.14-2.21
C: 0.2172 0.5241 0.4759  5 Ir 2.14-2.21
Ir: 0.0000 0.0000 0.5000  4 C 2.21
C: 0.4759 0.7828 0.2172  5 Ir 2.14-2.21

Computed properties:
Space group: No. 69
E_tot: -8.04 eV per atom

Record 9
Here is crystalline NpB at its relaxed geometry from OQMD. Energies are from PBE.

abc: 3.8820 3.8820 3.8820
angles: 60.00 60.00 60.00
Closest atoms and distances in Å follow each position.
Element x y z (fractional)
Np: 0.2500 0.2500 0.2500  4 B 2.38
B: 0.0000 0.0000 0.0000  4 Np 2.38

Computed properties:
Space group: No. 216
Excess energy over the best structure of this formula in the dataset: 1.007 eV/atom
E_tot: -8.53 eV per atom

Record 10
Here is crystalline TbHoSiCl2 at its relaxed geometry from OQMD. Energies are from PBE.

abc: 4.0551 4.0551 9.6035
angles: 90.00 90.00 120.00
Closest atoms and distances in Å follow each position.
Element x y z (fractional)
Cl: 0.3333 0.6667 0.1690  3 Tb 2.82
Si: 0.0000 0.0000 0.5017  3 Ho 2.83, 3 Tb 2.85
Cl: 0.6667 0.3333 0.8291  3 Ho 2.81
Ho: 0.3333 0.6667 0.6679  3 Cl 2.81, 3 Si 2.83
Tb: 0.6667 0.3333 0.3324  3 Cl 2.82, 3 Si 2.85

Computed properties:
Space group: No. 156
E_tot: -5.23 eV per atom

Record 11
Here is crystalline PmPu2 at its relaxed geometry from OQMD. Energies are from PBE.

abc: 10.2042 10.2042 10.2042
angles: 60.00 60.00 60.00
Closest atoms and distances in Å follow each position.
Element x y z (fractional)
Pu: 0.8750 0.3750 0.3750  2 Pm 3.12
Pm: 0.5000 0.5000 0.5000  4 Pu 3.12
Pm: 0.2500 0.2500 0.2500  4 Pu 3.12
Pu: 0.3750 0.3750 0.3750  2 Pm 3.12
Pu: 0.3750 0.8750 0.3750  2 Pm 3.12
Pu: 0.3750 0.3750 0.8750  2 Pm 3.12

Computed properties:
Energy of formation from the pure elements: 2.31 eV per atom
Space group: No. 227
E_tot: -8.69 eV per atom

Record 12
Here is crystalline NiSn2Mo at its relaxed geometry from OQMD. Energies are from PBE.

abc: 4.7044 4.7044 4.7044
angles: 60.00 60.00 60.00
Closest atoms and distances in Å follow each position.
Element x y z (fractional)
Sn: 0.2500 0.2500 0.2500  4 Mo 2.88, 4 Sn 2.88
Sn: 0.0000 0.0000 0.0000  4 Ni 2.88, 4 Sn 2.88
Mo: 0.5000 0.5000 0.5000  4 Ni 2.88, 4 Sn 2.88
Ni: 0.7500 0.7500 0.7500  4 Mo 2.88, 4 Sn 2.88

Computed properties:
Space group: No. 216
E_tot: -5.49 eV per atom

> Look up the E_tot of the second one.

-8.31 eV per atom